Na5HgSe3 | PBE-GGA | optimized geometry

Unit cell a=8.4474 b=8.4474 c=9.7473 alpha=106.82 beta=106.82 gamma=48.10
Fractional positions:
Na 0.0774 0.5921 0.4104
Na 0.0850 0.5837 0.9238
Na 0.2361 0.7639 0.7500
Na 0.4078 0.9226 0.0896
Na 0.4163 0.9150 0.5762
Na 0.5837 0.0850 0.4238
Na 0.5921 0.0774 0.9104
Na 0.7639 0.2361 0.2500
Na 0.9150 0.4163 0.0762
Na 0.9226 0.4078 0.5896
Hg 0.2759 0.7241 0.2500
Hg 0.7241 0.2759 0.7500
Se 0.1603 0.1809 0.3357
Se 0.1809 0.1603 0.8357
Se 0.5000 0.5000 0.0000
Se 0.5000 0.5000 0.5000
Se 0.8191 0.8397 0.1643
Se 0.8397 0.8191 0.6643

Calculated values
uncorrected formation energy = -0.89 eV/atom
total magnetization = 0.0 μB per cell